Compound: SiHg2I
Source: Alexandria via LeMat-Bulk
Functional: PBEsol
Structure: relaxed

Values from the calculation:
**Spin magnetization**: 0.00 μB per formula unit
**VASP energy**: -16.02 eV for the cell shown
**Crystal system**: tetragonal

Geometry as POSCAR:
```
SiHg2I
1.0
6.449 0.000 0.000
0.000 6.449 0.000
-3.224 -3.224 6.176
Si Hg I
2 4 2
direct
0.500 0.500 0.000 Si
0.750 0.250 0.500 Si
0.625 0.545 0.750 Hg
0.455 0.875 0.250 Hg
0.125 0.205 0.750 Hg
0.795 0.375 0.250 Hg
0.000 0.000 0.000 I
0.250 0.750 0.500 I
```